The following is a DFT calculation (GGA+U) of crystalline KGa2MoO6 at its relaxed geometry.

Properties
* total magnetization: 0.100 μB/atom
* uncorrected energy: -244.13 eV/cell

Cell lengths 9.098, 11.778, 6.395 Å; angles 90.00, 114.39, 90.00 degrees
Space group C2/c (No. 15)
One atom of each set of equivalent atoms:
K 0.000 0.102 0.250
Ga 0.127 0.429 0.163
Mo 0.000 0.205 0.750
O 0.089 0.275 0.035
O 0.117 0.452 0.455
O 0.142 0.098 0.714